Record 1
A geometry-optimized Zn2Ag3 structure. Source: Alexandria, functional PBE-GGA.

Unit cell a=2.9284 b=2.9284 c=19.3130 alpha=90.00 beta=90.00 gamma=90.00
Closest atoms and distances in Å follow each position.
Space group I4/mmm (No. 139)
One atom of each set of equivalent atoms:
Zn 0.0000 0.0000 0.0988 x4  8 Ag 2.78-2.82, 4 Zn 2.93
Ag 0.0000 0.0000 0.3051 x4  4 Zn 2.78, 8 Ag 2.93-2.97
Ag 0.0000 0.0000 0.5000 x2  8 Zn 2.82, 4 Ag 2.93

Summary:
As for the formation energy: -0.0293 eV/atom. For the calculated volume, the calculation gives 16.56 Å³/atom.

Record 2
A geometry-optimized AlSnOs2 structure. Source: Alexandria, functional PBE-GGA.

Unit cell a=4.1508 b=4.1508 c=17.4679 alpha=90.00 beta=90.00 gamma=90.00
Closest atoms and distances in Å follow each position.
Space group I-42d (No. 122)
One atom of each set of equivalent atoms:
Al 0.0000 0.0000 0.0000 x4  4 Os 2.52
Sn 0.0000 0.0000 0.5000 x4  4 Os 2.78, 4 Al 2.94
Os 0.1699 0.2500 0.1250 x8  2 Os 2.51, 2 Al 2.52, 2 Sn 2.78

Summary:
As for the formation energy: 0.5680 eV/atom. For the calculated volume, the calculation gives 18.81 Å³/atom.

Calculated M_tot, 0.000, 0.000 μB/cell (same order as the records).